i:
The following is a DFT calculation (GGA-PBE) of a relaxed SrZrP2 crystal.

Structure (POSCAR):
```
SrZrP2
1.0
3.987 0.000 0.000
0.000 3.987 0.000
0.000 0.000 5.995
P Sr Zr
2 1 1
Cartesian
1.993 1.993 1.924
0.000 0.000 5.277
0.000 0.000 2.309
1.993 1.993 5.478
```

Results
Mass density (g/cm3): 4.20



ii:
The following is a DFT calculation (GGA-PBE) of a relaxed SrZrP2 crystal.

Structure (POSCAR):
```
SrZrP2
1.0
3.503 0.000 0.000
0.000 3.441 -0.016
0.000 2.399 7.030
P Sr Zr
2 1 1
Cartesian
0.000 2.393 6.722
0.000 2.926 3.815
1.752 1.460 1.754
1.752 4.380 5.261
```

Results
Mass density (g/cm3): 4.71



The least stable of them is ii.



i:
The following is a DFT calculation (GGA-PBE) of a relaxed SrZrP2 crystal.

Structure (POSCAR):
```
SrZrP2
1.0
4.839 0.000 0.000
2.419 4.190 0.000
2.419 1.397 3.951
Zr P Sr
1 2 1
Cartesian
2.419 1.397 0.988
0.000 0.000 0.000
7.258 4.190 2.963
4.839 2.794 1.975
```

Results
Mass density (g/cm3): 4.99



ii:
The following is a DFT calculation (GGA-PBE) of a relaxed SrZrP2 crystal.

Structure (POSCAR):
```
SrZrP2
1.0
-3.379 3.659 -1.476
-1.939 -2.963 -3.801
0.127 -0.501 5.169
Sr P Zr
1 2 1
Cartesian
-2.955 1.753 0.527
-0.137 0.018 -0.136
-2.522 0.330 -2.503
-2.235 -1.558 -0.635
```

Results
Mass density (g/cm3): 4.39



iii:
The following is a DFT calculation (GGA-PBE) of a relaxed SrZrP2 crystal.

Structure (POSCAR):
```
SrZrP2
1.0
4.903 0.124 0.120
2.343 0.255 4.303
2.512 -3.874 1.659
Zr P Sr
1 2 1
Cartesian
4.879 -1.748 3.041
7.319 -2.621 4.561
2.440 -0.874 1.520
0.000 0.000 0.000
```

Results
Mass density (g/cm3): 4.79



The least stable of them is i.



i:
The following is a DFT calculation (GGA-PBE) of a relaxed SrZrP2 crystal.

Structure (POSCAR):
```
SrZrP2
1.0
-2.298 -6.997 -1.779
2.083 -7.230 0.889
-1.342 7.003 2.561
Zr P Sr
1 2 1
Cartesian
0.327 -2.997 1.545
-1.879 -3.890 0.148
-0.015 -0.964 -0.060
-0.098 -6.486 -0.405
```

Results
Mass density (g/cm3): 4.26



ii:
The following is a DFT calculation (GGA-PBE) of a relaxed SrZrP2 crystal.

Structure (POSCAR):
```
SrZrP2
1.0
6.091 0.003 0.000
3.457 5.015 0.000
-4.774 -2.509 2.831
P Zr Sr
2 1 1
Cartesian
1.728 2.508 1.416
0.000 0.000 0.000
3.045 0.001 1.416
4.774 2.509 0.000
```

Results
Mass density (g/cm3): 4.62



The least stable of them is ii.



i:
The following is a DFT calculation (GGA-PBE) of a relaxed Ta5P crystal.

Structure (POSCAR):
```
Ta5P
1.0
2.493 -4.318 0.000
2.493 4.318 0.000
0.000 0.000 4.903
Ta P
5 1
Cartesian
1.664 -2.883 0.000
2.493 1.439 2.452
1.664 2.883 0.000
2.493 -1.439 2.452
1.657 0.000 0.000
0.000 0.000 2.452
```

Results
Mass density (g/cm3): 14.72



ii:
The following is a DFT calculation (GGA-PBE) of a relaxed Ta5P crystal.

Structure (POSCAR):
```
Ta5P
1.0
0.000 3.825 3.825
3.825 0.000 3.825
3.825 3.825 0.000
Ta P
5 1
Cartesian
4.777 4.777 4.777
2.874 4.777 2.874
1.913 1.913 1.913
2.874 2.874 4.777
4.777 2.874 2.874
0.000 0.000 0.000
```

Results
Mass density (g/cm3): 13.88



iii:
The following is a DFT calculation (GGA-PBE) of a relaxed Ta5P crystal.

Structure (POSCAR):
```
Ta5P
1.0
1.667 4.915 0.001
-1.667 4.915 0.001
0.000 1.174 6.472
P Ta
1 5
Cartesian
0.000 1.317 6.300
0.000 4.220 6.084
0.000 7.276 4.665
0.000 3.291 2.522
0.000 10.178 3.778
0.000 6.070 1.468
```

Results
Mass density (g/cm3): 14.65



The least stable of them is ii.



i:
The following is a DFT calculation (GGA-PBE) of a relaxed Ta2TcP2 crystal.

Structure (POSCAR):
```
Ta2TcP2
1.0
-0.488 -3.256 0.266
3.252 -0.459 0.348
0.721 -1.181 7.387
P Tc Ta
2 1 2
Cartesian
2.678 -1.749 4.020
0.808 -3.147 3.979
0.000 0.000 0.000
1.235 -1.707 1.885
2.251 -3.189 6.114
```

Results
Mass density (g/cm3): 11.12



ii:
The following is a DFT calculation (GGA-PBE) of a relaxed Ta2TcP2 crystal.

Structure (POSCAR):
```
Ta2TcP2
1.0
-0.243 2.774 6.445
4.114 -5.168 2.379
2.586 1.756 -0.658
P Tc Ta
4 2 4
Cartesian
3.934 -2.067 2.191
1.828 1.068 2.281
4.629 -1.706 5.886
2.523 1.429 5.976
0.000 0.000 0.000
1.935 -1.197 4.412
0.448 1.034 4.522
1.415 -1.415 1.788
3.422 -3.428 4.303
2.455 -0.980 7.036
```

Results
Mass density (g/cm3): 11.01



iii:
The following is a DFT calculation (GGA-PBE) of a relaxed Ta2TcP2 crystal.

Structure (POSCAR):
```
Ta2TcP2
1.0
6.638 0.000 0.000
0.000 6.638 0.000
0.000 0.000 3.353
P Tc Ta
4 2 4
Cartesian
4.291 0.972 0.000
2.346 5.665 0.000
0.972 2.346 0.000
5.665 4.291 0.000
3.319 3.319 0.000
0.000 0.000 0.000
4.334 5.623 1.677
2.304 1.015 1.677
5.623 2.304 1.677
1.015 4.334 1.677
```

Results
Mass density (g/cm3): 11.73



The least stable of them is ii.



i:
The following is a DFT calculation (GGA-PBE) of a relaxed Ta2TeP crystal.

Structure (POSCAR):
```
Ta2TeP
1.0
-3.841 -2.741 1.683
2.392 -0.683 4.349
-3.982 4.558 5.792
P Ta Te
2 4 2
Cartesian
-0.725 -1.712 3.016
-1.157 1.082 6.578
-3.329 2.078 6.971
-2.774 -0.428 2.902
-0.303 0.140 4.518
-4.456 0.481 9.256
0.000 0.000 0.000
-4.274 0.053 5.245
```

Results
Mass density (g/cm3): 9.07



ii:
The following is a DFT calculation (GGA-PBE) of a relaxed Ta2TeP crystal.

Structure (POSCAR):
```
Ta2TeP
1.0
-1.634 2.234 5.193
1.634 -2.234 5.193
1.634 2.234 -5.193
Ta P Te
2 1 1
Cartesian
0.000 0.000 0.410
0.000 2.234 2.467
1.634 0.000 2.316
0.000 0.000 5.193
```

Results
Mass density (g/cm3): 11.40



The least stable of them is i.



i:
The following is a DFT calculation (GGA-PBE) of a relaxed TaTeP3 crystal.

Structure (POSCAR):
```
TaTeP3
1.0
-3.911 -2.850 -0.254
2.786 -3.696 -1.437
0.651 -1.306 4.621
P Te Ta
3 1 1
Cartesian
0.326 -0.653 2.311
1.393 -1.848 -0.718
-1.956 -1.425 -0.127
-0.237 -3.926 1.465
0.000 0.000 0.000
```

Results
Mass density (g/cm3): 5.86



ii:
The following is a DFT calculation (GGA-PBE) of a relaxed TaTeP3 crystal.

Structure (POSCAR):
```
TaTeP3
1.0
4.843 0.000 0.000
0.000 4.843 0.000
0.000 0.000 4.843
P Te Ta
3 1 1
Cartesian
2.422 0.000 0.000
0.000 0.000 2.422
0.000 2.422 0.000
0.000 0.000 0.000
2.422 2.422 2.422
```

Results
Mass density (g/cm3): 5.87



The least stable of them is ii.



i:
The following is a DFT calculation (GGA-PBE) of a relaxed TaTe3P crystal.

Structure (POSCAR):
```
TaTe3P
1.0
5.419 0.000 0.000
0.000 5.419 0.000
0.000 0.000 5.419
Ta Te P
1 3 1
Cartesian
0.000 0.000 0.000
0.000 0.000 2.709
2.709 0.000 0.000
0.000 2.709 0.000
2.709 2.709 2.709
```

Results
Mass density (g/cm3): 6.21



ii:
The following is a DFT calculation (GGA-PBE) of a relaxed TaTe3P crystal.

Structure (POSCAR):
```
TaTe3P
1.0
-4.147 2.154 -2.034
2.030 -0.483 -4.650
-2.158 -4.594 -0.465
Te P Ta
3 1 1
Cartesian
-2.073 1.077 -1.017
1.015 -0.241 -2.325
-1.079 -2.297 -0.233
0.000 0.000 0.000
-2.137 -1.461 -3.575
```

Results
Mass density (g/cm3): 7.46



iii:
The following is a DFT calculation (GGA-PBE) of a relaxed TaTe3P crystal.

Structure (POSCAR):
```
TaTe3P
1.0
3.640 0.000 0.000
0.000 8.748 -0.137
0.000 3.534 9.160
Ta Te P
2 6 2
Cartesian
2.730 1.564 2.506
0.910 10.718 6.517
2.730 7.493 1.617
2.730 3.332 4.854
0.910 4.790 7.405
0.910 3.697 1.701
0.910 8.951 4.169
2.730 8.585 7.321
2.730 10.896 8.226
0.910 1.387 0.797
```

Results
Mass density (g/cm3): 6.73



The least stable of them is ii.